# Dy4Ho3Th4 PBE optimized geometry
data_Dy4Ho3Th4
_cell_length_a 10.677
_cell_length_b 5.547
_cell_length_c 12.043
_cell_angle_alpha 90.00
_cell_angle_beta 90.00
_cell_angle_gamma 90.00
_space_group_name_H-M_alt 'A m m 2'
_space_group_IT_number 38
_space_group_name_Hall 'A 2 -2'
loop_
_atom_site_label
_atom_site_fract_x
_atom_site_fract_y
_atom_site_fract_z
_atom_site_occupancy
Dy1 0.000 0.000 0.000 1
Dy2 0.214 0.000 0.810 1
Dy3 0.500 0.000 0.960 1
Ho1 0.000 0.000 0.308 1
Ho2 0.297 0.000 0.454 1
Th1 0.000 0.000 0.609 1
Th2 0.283 0.000 0.151 1
Th3 0.500 0.000 0.678 1
# Energy of formation from the pure elements: 0.1868 eV/atom
# Total magnetic moment: 0.0 μB per formula unit
# V: 32.4 Å³ per atom


# DyHo4Th3 PBE optimized geometry
data_DyHo4Th3
_cell_length_a 11.540
_cell_length_b 7.134
_cell_length_c 6.220
_cell_angle_alpha 90.00
_cell_angle_beta 90.00
_cell_angle_gamma 90.00
_space_group_name_H-M_alt 'P m n 21'
_space_group_IT_number 31
_space_group_name_Hall 'P 2ac -2'
loop_
_atom_site_label
_atom_site_fract_x
_atom_site_fract_y
_atom_site_fract_z
_atom_site_occupancy
Dy1 0.000 0.124 0.000 1
Ho1 0.000 0.373 0.489 1
Ho2 0.000 0.632 0.990 1
Ho3 0.249 0.372 0.830 1
Th1 0.000 0.877 0.498 1
Th2 0.250 0.116 0.321 1
# Energy of formation from the pure elements: 0.0461 eV/atom
# Relative energy among the computed polymorphs: 0.15 eV per formula unit
# Total magnetic moment: 0.0 μB per formula unit
# V: 32.0 Å³ per atom


# DyHo3Th3 PBE optimized geometry
data_DyHo3Th3
_cell_length_a 9.4819
_cell_length_b 9.4819
_cell_length_c 5.7808
_cell_angle_alpha 90.00
_cell_angle_beta 90.00
_cell_angle_gamma 120.00
_space_group_name_H-M_alt 'P 63/m'
_space_group_IT_number 176
_space_group_name_Hall '-P 6c'
loop_
_atom_site_label
_atom_site_fract_x
_atom_site_fract_y
_atom_site_fract_z
_atom_site_occupancy
Dy1 0.3333 0.6667 0.2500 1
Ho1 0.0433 0.8054 0.2500 1
Th1 0.1028 0.6177 0.7500 1
# Energy of formation from the pure elements: 0.0504 eV/atom
# Relative energy among the computed polymorphs: 0.00 eV per formula unit
# Total magnetic moment: 0.0 μB per formula unit
# V: 32.1 Å³ per atom


# DyHo4Th5 PBE optimized geometry
data_DyHo4Th5
_cell_length_a 17.578
_cell_length_b 3.439
_cell_length_c 11.133
_cell_angle_alpha 90.00
_cell_angle_beta 107.28
_cell_angle_gamma 90.00
_space_group_name_H-M_alt 'C 1 2/m 1'
_space_group_IT_number 12
_space_group_name_Hall '-C 2y'
loop_
_atom_site_label
_atom_site_fract_x
_atom_site_fract_y
_atom_site_fract_z
_atom_site_occupancy
Dy1 0.000 0.000 0.000 1
Ho1 0.094 0.500 0.809 1
Ho2 0.197 0.000 0.088 1
Th1 0.000 0.000 0.500 1
Th2 0.109 0.500 0.295 1
Th3 0.197 0.500 0.595 1
# Energy of formation from the pure elements: 0.1318 eV/atom
# Total magnetic moment: 0.0 μB per formula unit
# V: 32.1 Å³ per atom


# Dy2Ho6Th PBE optimized geometry
data_Dy2Ho6Th
_cell_length_a 6.8844
_cell_length_b 6.8844
_cell_length_c 23.1672
_cell_angle_alpha 90.00
_cell_angle_beta 90.00
_cell_angle_gamma 120.00
_space_group_name_H-M_alt 'R 3 m'
_space_group_IT_number 160
_space_group_name_Hall 'R 3 -2"'
loop_
_atom_site_label
_atom_site_fract_x
_atom_site_fract_y
_atom_site_fract_z
_atom_site_occupancy
Dy1 0.0000 0.0000 0.0000 1
Dy2 0.0000 0.0000 0.1593 1
Ho1 0.0080 0.5040 0.9615 1
Ho2 0.1679 0.3357 0.5166 1
Th1 0.0000 0.0000 0.4040 1
# Energy of formation from the pure elements: 0.4268 eV/atom
# Relative energy among the computed polymorphs: 3.30 eV per formula unit
# Total magnetic moment: 0.0 μB per formula unit
# V: 35.2 Å³ per atom


# Dy2Ho3Th PBE optimized geometry
data_Dy2Ho3Th
_cell_length_a 11.197
_cell_length_b 5.021
_cell_length_c 14.167
_cell_angle_alpha 90.00
_cell_angle_beta 108.36
_cell_angle_gamma 90.00
_space_group_name_H-M_alt 'C 1 2/m 1'
_space_group_IT_number 12
_space_group_name_Hall '-C 2y'
loop_
_atom_site_label
_atom_site_fract_x
_atom_site_fract_y
_atom_site_fract_z
_atom_site_occupancy
Dy1 0.002 0.000 0.373 1
Dy2 0.003 0.000 0.127 1
Ho1 0.166 0.500 0.042 1
Ho2 0.168 0.500 0.791 1
Ho3 0.170 0.500 0.543 1
Th1 0.167 0.500 0.291 1
# Energy of formation from the pure elements: 0.0347 eV/atom
# Total magnetic moment: 0.0 μB per formula unit
# V: 31.5 Å³ per atom


# Dy3Ho4Th4 PBE optimized geometry
data_Dy3Ho4Th4
_cell_length_a 10.702
_cell_length_b 5.546
_cell_length_c 12.017
_cell_angle_alpha 90.00
_cell_angle_beta 90.00
_cell_angle_gamma 90.00
_space_group_name_H-M_alt 'A m m 2'
_space_group_IT_number 38
_space_group_name_Hall 'A 2 -2'
loop_
_atom_site_label
_atom_site_fract_x
_atom_site_fract_y
_atom_site_fract_z
_atom_site_occupancy
Dy1 0.000 0.000 0.000 1
Dy2 0.298 0.000 0.145 1
Ho1 0.000 0.000 0.691 1
Ho2 0.215 0.000 0.503 1
Ho3 0.500 0.000 0.652 1
Th1 0.000 0.000 0.302 1
Th2 0.282 0.000 0.842 1
Th3 0.500 0.000 0.369 1
# Energy of formation from the pure elements: 0.1863 eV/atom
# Total magnetic moment: 0.0 μB per formula unit
# V: 32.4 Å³ per atom


# Dy7Ho3Th PBE optimized geometry
data_Dy7Ho3Th
_cell_length_a 6.916
_cell_length_b 18.452
_cell_length_c 6.513
_cell_angle_alpha 90.00
_cell_angle_beta 121.32
_cell_angle_gamma 90.00
_space_group_name_H-M_alt 'C 1 2/m 1'
_space_group_IT_number 12
_space_group_name_Hall '-C 2y'
loop_
_atom_site_label
_atom_site_fract_x
_atom_site_fract_y
_atom_site_fract_z
_atom_site_occupancy
Dy1 0.000 0.000 0.000 1
Dy2 0.000 0.413 0.000 1
Dy3 0.223 0.161 0.443 1
Ho1 0.000 0.000 0.500 1
Ho2 0.250 0.250 0.000 1
Th1 0.000 0.500 0.500 1
# Energy of formation from the pure elements: 0.1565 eV/atom
# Relative energy among the computed polymorphs: 0.00 eV per formula unit
# Total magnetic moment: 0.0 μB per formula unit
# V: 32.3 Å³ per atom


# Dy4Ho3Th PBE optimized geometry
data_Dy4Ho3Th
_cell_length_a 23.236
_cell_length_b 3.444
_cell_length_c 6.703
_cell_angle_alpha 90.00
_cell_angle_beta 106.76
_cell_angle_gamma 90.00
_space_group_name_H-M_alt 'C 1 2/m 1'
_space_group_IT_number 12
_space_group_name_Hall '-C 2y'
loop_
_atom_site_label
_atom_site_fract_x
_atom_site_fract_y
_atom_site_fract_z
_atom_site_occupancy
Dy1 0.124 0.000 0.364 1
Dy2 0.241 0.500 0.240 1
Ho1 0.000 0.000 0.500 1
Ho2 0.124 0.000 0.884 1
Th1 0.000 0.500 0.000 1
# Energy of formation from the pure elements: 0.1732 eV/atom
# Relative energy among the computed polymorphs: 1.21 eV per formula unit
# Total magnetic moment: 0.0 μB per formula unit
# V: 32.1 Å³ per atom


# DyHo6Th4 PBE optimized geometry
data_DyHo6Th4
_cell_length_a 3.418
_cell_length_b 5.826
_cell_length_c 35.646
_cell_angle_alpha 90.00
_cell_angle_beta 90.00
_cell_angle_gamma 90.00
_space_group_name_H-M_alt 'I m m m'
_space_group_IT_number 71
_space_group_name_Hall '-I 2 2'
loop_
_atom_site_label
_atom_site_fract_x
_atom_site_fract_y
_atom_site_fract_z
_atom_site_occupancy
Dy1 0.000 0.000 0.000 1
Ho1 0.000 0.500 0.131 1
Ho2 0.000 0.500 0.233 1
Ho3 0.000 0.500 0.404 1
Th1 0.000 0.000 0.182 1
Th2 0.000 0.000 0.456 1
# Energy of formation from the pure elements: 0.1637 eV/atom
# Relative energy among the computed polymorphs: 0.00 eV per formula unit
# Total magnetic moment: 0.0 μB per formula unit
# V: 32.3 Å³ per atom


# DyHo8Th4 PBE optimized geometry
data_DyHo8Th4
_cell_length_a 7.3646
_cell_length_b 7.3646
_cell_length_c 26.5355
_cell_angle_alpha 90.00
_cell_angle_beta 90.00
_cell_angle_gamma 120.00
_space_group_name_H-M_alt 'R -3 m'
_space_group_IT_number 166
_space_group_name_Hall '-R 3 2"'
loop_
_atom_site_label
_atom_site_fract_x
_atom_site_fract_y
_atom_site_fract_z
_atom_site_occupancy
Dy1 0.0000 0.0000 0.0000 1
Ho1 0.0000 0.0000 0.2796 1
Ho2 0.0405 0.5202 0.2695 1
Th1 0.0000 0.0000 0.5000 1
Th2 0.0000 0.5000 0.5000 1
# Energy of formation from the pure elements: 0.2235 eV/atom
# Total magnetic moment: 0.0 μB per formula unit
# V: 32.0 Å³ per atom


# Dy6Ho12Th PBE optimized geometry
data_Dy6Ho12Th
_cell_length_a 11.8544
_cell_length_b 11.8544
_cell_length_c 15.0320
_cell_angle_alpha 90.00
_cell_angle_beta 90.00
_cell_angle_gamma 120.00
_space_group_name_H-M_alt 'R -3'
_space_group_IT_number 148
_space_group_name_Hall '-R 3'
loop_
_atom_site_label
_atom_site_fract_x
_atom_site_fract_y
_atom_site_fract_z
_atom_site_occupancy
Dy1 0.0105 0.5875 0.1778 1
Ho1 0.0217 0.1808 0.6897 1
Ho2 0.0421 0.1887 0.9149 1
Th1 0.0000 0.0000 0.5000 1
# Energy of formation from the pure elements: 0.1485 eV/atom
# Relative energy among the computed polymorphs: 0.00 eV per formula unit
# Total magnetic moment: 0.0 μB per formula unit
# V: 32.1 Å³ per atom


# Dy4HoTh PBE optimized geometry
data_Dy4HoTh
_cell_length_a 11.543
_cell_length_b 11.787
_cell_length_c 3.402
_cell_angle_alpha 90.00
_cell_angle_beta 90.00
_cell_angle_gamma 90.00
_space_group_name_H-M_alt 'C m m m'
_space_group_IT_number 65
_space_group_name_Hall '-C 2 2'
loop_
_atom_site_label
_atom_site_fract_x
_atom_site_fract_y
_atom_site_fract_z
_atom_site_occupancy
Dy1 0.000 0.231 0.000 1
Dy2 0.238 0.500 0.500 1
Ho1 0.000 0.000 0.500 1
Th1 0.000 0.500 0.000 1
# Energy of formation from the pure elements: 0.7357 eV/atom
# Relative energy among the computed polymorphs: 4.32 eV per formula unit
# Total magnetic moment: 0.0 μB per formula unit
# V: 38.6 Å³ per atom


# Dy3HoTh PBE optimized geometry
data_Dy3HoTh
_cell_length_a 5.511
_cell_length_b 10.929
_cell_length_c 6.353
_cell_angle_alpha 90.00
_cell_angle_beta 115.36
_cell_angle_gamma 90.00
_space_group_name_H-M_alt 'P 1 21/m 1'
_space_group_IT_number 11
_space_group_name_Hall '-P 2yb'
loop_
_atom_site_label
_atom_site_fract_x
_atom_site_fract_y
_atom_site_fract_z
_atom_site_occupancy
Dy1 0.158 0.011 0.307 1
Dy2 0.329 0.250 0.704 1
Ho1 0.042 0.750 0.033 1
Th1 0.344 0.750 0.666 1
# Energy of formation from the pure elements: 0.4040 eV/atom
# Relative energy among the computed polymorphs: 1.87 eV per formula unit
# Total magnetic moment: 0.0 μB per formula unit
# V: 34.6 Å³ per atom


# Dy12HoTh3 PBE optimized geometry
data_Dy12HoTh3
_cell_length_a 5.023
_cell_length_b 5.023
_cell_length_c 19.996
_cell_angle_alpha 90.00
_cell_angle_beta 90.00
_cell_angle_gamma 90.00
_space_group_name_H-M_alt 'P 4/m m m'
_space_group_IT_number 123
_space_group_name_Hall '-P 4 2'
loop_
_atom_site_label
_atom_site_fract_x
_atom_site_fract_y
_atom_site_fract_z
_atom_site_occupancy
Dy1 0.000 0.000 0.000 1
Dy2 0.000 0.000 0.250 1
Dy3 0.000 0.000 0.500 1
Dy4 0.000 0.500 0.125 1
Dy5 0.000 0.500 0.374 1
Ho1 0.500 0.500 0.500 1
Th1 0.500 0.500 0.000 1
Th2 0.500 0.500 0.249 1
# Energy of formation from the pure elements: 0.0343 eV/atom
# Total magnetic moment: 0.0 μB per formula unit
# V: 31.5 Å³ per atom


# Dy4HoTh3 PBE optimized geometry
data_Dy4HoTh3
_cell_length_a 5.026
_cell_length_b 10.071
_cell_length_c 10.079
_cell_angle_alpha 90.00
_cell_angle_beta 90.00
_cell_angle_gamma 90.00
_space_group_name_H-M_alt 'P m m n'
_space_group_IT_number 59
loop_
_space_group_symop_operation_xyz
'x,y,z'
'-x,-y,-z'
'-x+1/2,-y+1/2,z'
'x+1/2,y+1/2,-z'
'x+1/2,-y,-z'
'-x+1/2,y,z'
'-x,y+1/2,-z'
'x,-y+1/2,z'
loop_
_atom_site_label
_atom_site_fract_x
_atom_site_fract_y
_atom_site_fract_z
_atom_site_occupancy
Dy1 0.250 0.001 0.127 1
Dy2 0.250 0.250 0.874 1
Dy3 0.250 0.750 0.870 1
Ho1 0.250 0.750 0.377 1
Th1 0.250 0.250 0.376 1
Th2 0.250 0.502 0.623 1
# Energy of formation from the pure elements: 0.0310 eV/atom
# Total magnetic moment: 0.0 μB per formula unit
# V: 31.9 Å³ per atom


# DyHo7Th2 PBE optimized geometry
data_DyHo7Th2
_cell_length_a 18.373
_cell_length_b 3.555
_cell_length_c 9.986
_cell_angle_alpha 90.00
_cell_angle_beta 105.96
_cell_angle_gamma 90.00
_space_group_name_H-M_alt 'C 1 2/m 1'
_space_group_IT_number 12
_space_group_name_Hall '-C 2y'
loop_
_atom_site_label
_atom_site_fract_x
_atom_site_fract_y
_atom_site_fract_z
_atom_site_occupancy
Dy1 0.000 0.000 0.000 1
Ho1 0.000 0.000 0.500 1
Ho2 0.100 0.500 0.300 1
Ho3 0.103 0.500 0.804 1
Ho4 0.201 0.000 0.604 1
Th1 0.200 0.000 0.100 1
# Energy of formation from the pure elements: 0.0236 eV/atom
# Relative energy among the computed polymorphs: 0.00 eV per formula unit
# Total magnetic moment: 0.0 μB per formula unit
# V: 31.4 Å³ per atom


# Dy7HoTh2 PBE optimized geometry
data_Dy7HoTh2
_cell_length_a 11.948
_cell_length_b 16.603
_cell_length_c 3.488
_cell_angle_alpha 90.00
_cell_angle_beta 90.00
_cell_angle_gamma 90.00
_space_group_name_H-M_alt 'C m m m'
_space_group_IT_number 65
_space_group_name_Hall '-C 2 2'
loop_
_atom_site_label
_atom_site_fract_x
_atom_site_fract_y
_atom_site_fract_z
_atom_site_occupancy
Dy1 0.000 0.000 0.000 1
Dy2 0.000 0.168 0.500 1
Dy3 0.242 0.127 0.000 1
Ho1 0.000 0.500 0.500 1
Th1 0.000 0.327 0.000 1
# Energy of formation from the pure elements: 0.4632 eV/atom
# Relative energy among the computed polymorphs: 0.00 eV per formula unit
# Total magnetic moment: 0.0 μB per formula unit
# V: 34.6 Å³ per atom


# Dy3Ho8Th2 PBE optimized geometry
data_Dy3Ho8Th2
_cell_length_a 7.344
_cell_length_b 20.697
_cell_length_c 5.630
_cell_angle_alpha 90.00
_cell_angle_beta 90.00
_cell_angle_gamma 90.00
_space_group_name_H-M_alt 'C m m m'
_space_group_IT_number 65
_space_group_name_Hall '-C 2 2'
loop_
_atom_site_label
_atom_site_fract_x
_atom_site_fract_y
_atom_site_fract_z
_atom_site_occupancy
Dy1 0.000 0.000 0.000 1
Dy2 0.225 0.500 0.500 1
Ho1 0.000 0.139 0.500 1
Ho2 0.000 0.334 0.500 1
Ho3 0.218 0.391 0.000 1
Th1 0.000 0.245 0.000 1
# Energy of formation from the pure elements: 0.2772 eV/atom
# Relative energy among the computed polymorphs: 2.13 eV per formula unit
# Total magnetic moment: 0.0 μB per formula unit
# V: 32.9 Å³ per atom


# DyHo4Th2 PBE optimized geometry
data_DyHo4Th2
_cell_length_a 5.522
_cell_length_b 5.522
_cell_length_c 16.720
_cell_angle_alpha 90.00
_cell_angle_beta 90.00
_cell_angle_gamma 90.00
_space_group_name_H-M_alt 'I 4/m m m'
_space_group_IT_number 139
_space_group_name_Hall '-I 4 2'
loop_
_atom_site_label
_atom_site_fract_x
_atom_site_fract_y
_atom_site_fract_z
_atom_site_occupancy
Dy1 0.000 0.000 0.000 1
Ho1 0.000 0.000 0.181 1
Ho2 0.000 0.500 0.000 1
Th1 0.000 0.000 0.386 1
# Energy of formation from the pure elements: 0.8139 eV/atom
# Relative energy among the computed polymorphs: 4.89 eV per formula unit
# Total magnetic moment: 0.0 μB per formula unit
# V: 36.4 Å³ per atom